No. 1
Compound: Na3H3Au
Source: Alexandria
Functional: GGA-PBE
Structure: optimized geometry

Structure (POSCAR):
```
Na3H3Au
1.0
-2.968 3.358 -2.386
-3.489 -4.928 -2.595
-3.297 1.060 5.592
H Au Na
6 2 6
direct
0.750 0.453 0.148
0.750 0.883 0.117
0.750 0.852 0.547
0.250 0.117 0.883
0.250 0.148 0.453
0.250 0.547 0.852
0.750 0.685 0.315
0.250 0.315 0.685
0.250 0.412 0.188
0.250 0.811 0.587
0.750 0.588 0.812
0.750 0.121 0.878
0.250 0.879 0.122
0.750 0.189 0.413
```

## Properties
- excess energy over the best structure of this formula in the dataset (meV/atom) = 15

No. 2
Compound: LaAg2Mo
Source: Alexandria
Functional: GGA-PBE
Structure: optimized geometry

Structure (POSCAR):
```
LaAg2Mo
1.0
-4.698 0.194 0.743
-0.072 -2.884 0.300
0.925 -0.842 6.068
Ag La Mo
2 1 1
direct
0.000 0.194 0.982
0.500 0.074 0.230
0.000 0.444 0.490
0.500 0.788 0.798
```

## Properties
- energy relative to the elements (meV/atom) = 426.6
- excess energy over the best structure of this formula in the dataset (meV/atom) = 61

No. 3
Compound: CuSi2Ru
Source: Alexandria
Functional: GGA-PBE
Structure: optimized geometry

Structure (POSCAR):
```
CuSi2Ru
1.0
-1.482 3.400 1.921
0.434 3.757 -1.774
-3.339 1.981 -1.541
Si Cu Ru
2 1 1
direct
0.750 0.750 0.750
0.250 0.250 0.250
0.000 0.000 0.000
0.500 0.500 0.500
```

## Properties
- ΔE_f (raw) (eV/atom) = -0.040
- excess energy over the best structure of this formula in the dataset (meV/atom) = 243

No. 4
Compound: In4AgHg
Source: Alexandria
Functional: GGA-PBE
Structure: optimized geometry

Structure (POSCAR):
```
In4AgHg
1.0
-4.118 1.874 -3.576
3.490 -4.379 -4.825
-4.080 -5.044 3.542
In Ag Hg
8 2 2
direct
0.432 0.844 0.635
0.459 0.686 0.111
0.932 0.635 0.844
0.568 0.156 0.365
0.541 0.314 0.889
0.959 0.111 0.686
0.041 0.889 0.314
0.068 0.365 0.156
0.250 0.004 0.996
0.750 0.996 0.004
0.750 0.570 0.430
0.250 0.430 0.570
```

## Properties
- energy relative to the elements (meV/atom) = 5.1
- excess energy over the best structure of this formula in the dataset (meV/atom) = 0

No. 5
Compound: Sm4MgAg5
Source: Alexandria
Functional: GGA-PBE
Structure: optimized geometry

Structure (POSCAR):
```
Sm4MgAg5
1.0
3.615 0.000 0.000
0.000 3.615 0.000
0.000 0.000 18.556
Ag Sm Mg
5 4 1
direct
0.500 0.500 0.293
0.500 0.500 0.707
0.500 0.500 0.916
0.500 0.500 0.084
0.500 0.500 0.500
0.000 0.000 0.604
0.000 0.000 0.189
0.000 0.000 0.396
0.000 0.000 0.811
0.000 0.000 0.000
```

## Properties
- energy relative to the elements (meV/atom) = -255.8

No. 6
Compound: Ni3HgSe
Source: Alexandria
Functional: GGA-PBE
Structure: optimized geometry

Structure (POSCAR):
```
Ni3HgSe
1.0
-1.800 3.992 -1.810
-4.351 -1.865 0.214
-0.532 1.744 4.374
Se Ni Hg
1 3 1
direct
0.500 0.500 0.500
0.500 0.000 0.000
0.000 0.000 0.500
0.000 0.500 0.000
0.000 0.000 0.000
```

## Properties
- ΔE_f (raw) (eV/atom) = 1.297

No. 7
Compound: YMnRu2
Source: Alexandria
Functional: GGA-PBE
Structure: optimized geometry

Structure (POSCAR):
```
YMnRu2
1.0
4.382 0.000 0.000
0.000 3.009 0.003
0.000 1.499 5.152
Ru Y Mn
2 1 1
direct
0.500 0.220 0.185
0.000 0.808 0.009
0.000 0.552 0.522
0.500 0.920 0.784
```

## Properties
- energy relative to the elements (meV/atom) = 206.2

No. 8
Compound: Pm2Pr5SmSc
Source: Alexandria
Functional: GGA-PBE
Structure: optimized geometry

Structure (POSCAR):
```
Pm2Pr5SmSc
1.0
-3.501 0.498 4.186
-2.841 -9.992 -4.774
6.705 -4.862 6.186
Pm Sm Pr Sc
4 2 10 2
direct
0.884 0.768 0.759
0.116 0.233 0.757
0.884 0.767 0.257
0.116 0.232 0.259
0.397 0.795 0.508
0.603 0.205 0.008
0.277 0.554 0.321
0.500 0.000 0.258
0.001 0.001 0.508
0.628 0.255 0.508
0.372 0.745 0.008
0.278 0.555 0.697
0.722 0.445 0.197
0.500 0.000 0.758
0.999 0.999 0.008
0.723 0.446 0.821
0.788 0.575 0.509
0.212 0.425 0.009
```

## Properties
- energy relative to the elements (meV/atom) = 117.1

Calculated E_tot, -2.62; -4.94; -6.09; -2.35; -3.73; -2.93; -8.34; -4.82 eV/atom (same order as the records).